A plane-wave DFT calculation with PBE+U was carried out for a relaxed RbFeF5 crystal.

Values from the calculation:
- volume (Å³/f.u.) = 121.3
- DFT total energy (eV/atom) = -4.571

Cell: 11.161 7.788 7.865 Å, 90.00 134.77 90.00°
Space group C2/c (No. 15)
Symmetry-distinct sites (fractional):
1 Rb 0.000 0.040 0.250 (multiplicity 4)
2 Fe 0.000 0.500 0.000 (multiplicity 4)
3 F 0.000 0.432 0.250 (multiplicity 4)
4 F 0.001 0.274 0.950 (multiplicity 8)
5 F 0.229 0.499 0.729 (multiplicity 8)